Record 1
Here is Y4InBiH after structural relaxation from Alexandria via LeMat-Bulk. Energies are from PBE-GGA.

The structure in POSCAR format:
```
Y4InBiH
1.0
-4.389 4.317 -1.990
0.921 -1.893 -6.138
-3.925 -7.976 1.871
Y In Bi H
8 2 2 2
direct
0.930 0.250 0.860
0.424 0.750 0.848
0.070 0.750 0.140
0.576 0.250 0.152
0.500 0.500 0.500
0.000 0.000 0.500
0.500 0.000 0.500
0.000 0.500 0.500
0.114 0.250 0.229
0.886 0.750 0.771
0.611 0.750 0.221
0.389 0.250 0.779
0.289 0.750 0.578
0.711 0.250 0.422
```

## Properties
DOS(E_F)	6.50	states/eV/f.u.
raw total energy	-79.3	eV/cell
space group	Cmcm

***

Record 2
Here is ZrHgSeO5 after structural relaxation from Alexandria via LeMat-Bulk. Energies are from PBE-GGA.

The structure in POSCAR format:
```
ZrHgSeO5
1.0
6.132 -0.137 -0.358
-1.921 5.824 -0.358
-2.163 -2.922 7.410
Zr Hg Se O
2 2 2 10
direct
0.000 0.000 0.500
0.000 0.000 0.000
0.294 0.706 0.250
0.706 0.294 0.750
0.722 0.278 0.250
0.278 0.722 0.750
0.030 0.970 0.250
0.970 0.030 0.750
0.962 0.348 0.104
0.038 0.652 0.896
0.652 0.038 0.396
0.348 0.962 0.604
0.806 0.585 0.405
0.194 0.415 0.595
0.415 0.194 0.095
0.585 0.806 0.905
```

## Properties
DOS(E_F)	0.00	states/eV/f.u.
ΔE_f (raw)	-1467	meV/atom
space group	C2/c

***

Record 3
Here is Ac5ScPb4 after structural relaxation from Alexandria via LeMat-Bulk. Energies are from PBE-GGA.

The structure in POSCAR format:
```
Ac5ScPb4
1.0
4.265 0.000 0.000
0.000 9.507 -0.819
-2.133 -2.216 10.089
Ac Sc Pb
5 1 4
direct
0.833 0.641 0.665
0.827 0.192 0.654
0.173 0.808 0.346
0.500 0.500 0.000
0.167 0.359 0.335
0.500 0.000 0.000
0.345 0.925 0.690
0.004 0.778 0.007
0.655 0.075 0.310
0.996 0.222 0.993
```

## Properties
DOS(E_F)	12.94	states/eV/f.u.
DFT formation energy	-201	meV per atom
space group	C2/m

***

Record 4
Here is LiHfPt2 after structural relaxation from Alexandria via LeMat-Bulk. Energies are from PBE-GGA.

The structure in POSCAR format:
```
LiHfPt2
1.0
-3.026 -2.207 -5.893
3.779 -5.866 0.257
-1.660 -5.283 -1.306
Hf Pt Li
2 4 2
direct
0.000 0.000 0.000
0.750 0.250 0.500
0.615 0.125 0.250
0.135 0.625 0.250
0.375 0.385 0.750
0.875 0.865 0.750
0.500 0.500 0.000
0.250 0.750 0.500
```

## Properties
DOS(E_F)	1.44	states/eV/f.u.
DFT formation energy	-568	meV per atom
energy relative to the lowest polymorph listed for this composition	392	meV per atom
space group	I-42d

***

Record 5
Here is PmHo5Sn4 after structural relaxation from Alexandria via LeMat-Bulk. Energies are from PBE-GGA.

The structure in POSCAR format:
```
PmHo5Sn4
1.0
4.429 0.000 0.000
0.000 8.021 -0.314
-2.214 -1.558 8.753
Pm Ho Sn
1 5 4
direct
0.500 0.000 0.000
0.794 0.693 0.588
0.861 0.277 0.721
0.139 0.723 0.279
0.500 0.500 0.000
0.206 0.307 0.412
0.311 0.988 0.622
0.963 0.718 0.927
0.689 0.012 0.378
0.037 0.282 0.073
```

## Properties
DOS(E_F)	10.89	states/eV/f.u.
DFT formation energy	-403	meV per atom
space group	C2/m

***

Record 6
Here is AlSi2Pt after structural relaxation from Alexandria via LeMat-Bulk. Energies are from PBE-GGA.

The structure in POSCAR format:
```
AlSi2Pt
1.0
4.422 0.000 0.000
2.211 3.829 0.000
2.211 1.276 3.610
Si Al Pt
2 1 1
direct
0.000 0.000 0.000
0.250 0.250 0.250
0.500 0.500 0.500
0.750 0.750 0.750
```

## Properties
DOS(E_F)	2.97	states/eV/f.u.
ΔE_f (raw)	4	meV/atom
space group	F-43m